Record 1
## TlPb (GGA-PBEsol)

Data for a relaxed structure of TlPb.

Structure (POSCAR):
```
TlPb
1.0
0.0000 3.8646 3.8646
3.8646 0.0000 3.8646
3.8646 3.8646 0.0000
Tl Pb
2 2
Direct
0.1250 0.1250 0.1250
0.8750 0.8750 0.8750
0.3750 0.3750 0.3750
0.6250 0.6250 0.6250
```

Results
Final energy, eV per cell: -13.242
Space-group type: Fd-3m
Size of the total moment, μB/cell: 0.000
N(E_F), states/eV/cell: 1.40

***

Record 2
## BeFe2As (GGA-PBEsol)

Data for a relaxed structure of BeFe2As.

Structure (POSCAR):
```
BeFe2As
1.0
2.6273 0.0000 0.0000
0.0000 2.6273 0.0000
0.0000 0.0000 7.2732
Be Fe As
1 2 1
Direct
0.0000 0.0000 0.0000
0.0000 0.0000 0.3736
0.5000 0.5000 0.1671
0.5000 0.5000 0.5925
```

Results
Space-group type: P4mm
Energy above the most stable polymorph in this dataset, kcal/mol of atoms: 8.29
Size of the total moment, μB/cell: 1.451
N(E_F), states/eV/cell: 3.47

***

Record 3
## InCoOF2 (GGA-PBEsol)

Data for a relaxed structure of InCoOF2.

Structure (POSCAR):
```
InCoOF2
1.0
4.1647 0.0000 0.0000
0.0000 4.1647 0.0000
0.0000 0.0000 3.5919
In Co O F
1 1 1 2
Direct
0.0000 0.0000 0.0000
0.5000 0.5000 0.5000
0.5000 0.5000 0.0000
0.0000 0.5000 0.5000
0.5000 0.0000 0.5000
```

Results
Space-group type: P4/mmm
Size of the total moment, μB/cell: 2.755
N(E_F), states/eV/cell: 2.66
Raw formation energy, meV per atom: -1309

***

Record 4
## KCoS2 (GGA-PBEsol)

Data for a relaxed structure of KCoS2.

Structure (POSCAR):
```
KCoS2
1.0
-3.3798 3.3798 3.6541
3.3798 -3.3798 3.6541
3.3798 3.3798 -3.6541
K Co S
2 2 4
Direct
0.0000 0.0000 0.0000
0.7500 0.2500 0.5000
0.2500 0.7500 0.5000
0.5000 0.5000 0.0000
0.2488 0.6250 0.1238
0.3750 0.4988 0.6238
0.5012 0.1250 0.8762
0.8750 0.7512 0.3762
```

Results
Space-group type: I-42d
Size of the total moment, μB/cell: 0.001
N(E_F), states/eV/cell: 2.99
Raw formation energy, meV per atom: -680

***

Record 5
## NbZnAs2Se (GGA-PBEsol)

Data for a relaxed structure of NbZnAs2Se.

Structure (POSCAR):
```
NbZnAs2Se
1.0
4.6359 0.0000 0.0000
0.0000 4.6359 0.0000
0.0000 0.0000 4.8185
Nb Zn As Se
1 1 2 1
Direct
0.0000 0.0000 0.0000
0.5000 0.5000 0.5000
0.0000 0.5000 0.5000
0.5000 0.0000 0.5000
0.5000 0.5000 0.0000
```

Results
Space-group type: P4/mmm
Size of the total moment, μB/cell: 1.994
N(E_F), states/eV/cell: 5.93
Raw formation energy, meV per atom: 861

***

Record 6
## K4CrO4 (GGA-PBEsol)

Data for a relaxed structure of K4CrO4.

Structure (POSCAR):
```
K4CrO4
1.0
6.2964 0.0000 0.0000
2.4732 5.8917 0.0000
1.5786 2.3735 8.7941
K Cr O
8 2 8
Direct
0.2222 0.4613 0.1221
0.2411 0.9230 0.3456
0.2535 0.2746 0.5347
0.2759 0.0085 0.9391
0.7241 0.9915 0.0609
0.7465 0.7254 0.4653
0.7589 0.0770 0.6544
0.7778 0.5387 0.8779
0.2664 0.6567 0.7476
0.7336 0.3433 0.2524
0.0455 0.7907 0.8766
0.1067 0.6719 0.6012
0.4391 0.3645 0.8381
0.4411 0.8347 0.6886
0.5589 0.1653 0.3114
0.5609 0.6355 0.1619
0.8933 0.3281 0.3988
0.9545 0.2093 0.1234
```

Results
Space-group type: P-1
Size of the total moment, μB/cell: 4.000
N(E_F), states/eV/cell: 0.12
Raw formation energy, meV per atom: -1656

***

Record 7
## ZrNbTc2W (GGA-PBEsol)

Data for a relaxed structure of ZrNbTc2W.

Structure (POSCAR):
```
ZrNbTc2W
1.0
4.6267 0.0000 0.0000
0.0000 4.6267 0.0000
0.0000 0.0000 4.7253
Zr Nb Tc W
1 1 2 1
Direct
0.0000 0.0000 0.0000
0.5000 0.5000 0.5000
0.0000 0.5000 0.5000
0.5000 0.0000 0.5000
0.5000 0.5000 0.0000
```

Results
Final energy, eV per cell: -48.535
Space-group type: P4/mmm
Size of the total moment, μB/cell: 0.000
N(E_F), states/eV/cell: 7.88

***

Record 8
## RbCa2AuF (GGA-PBEsol)

Data for a relaxed structure of RbCa2AuF.

Structure (POSCAR):
```
RbCa2AuF
1.0
4.8423 0.0000 0.0000
0.0000 4.8423 0.0000
0.0000 0.0000 5.3183
Rb Ca Au F
1 2 1 1
Direct
0.0000 0.0000 0.0000
0.0000 0.5000 0.5000
0.5000 0.0000 0.5000
0.5000 0.5000 0.0000
0.0000 0.0000 0.5000
```

Results
Space-group type: P4/mmm
Size of the total moment, μB/cell: 0.000
N(E_F), states/eV/cell: 2.98
Raw formation energy, meV per atom: -1086

***

Record 9
## Zr2NiP (GGA-PBEsol)

Data for a relaxed structure of Zr2NiP.

Structure (POSCAR):
```
Zr2NiP
1.0
5.2129 0.0000 0.0000
0.0000 3.6086 0.0000
-2.5894 0.0000 6.9227
Zr Ni P
4 2 2
Direct
0.2159 0.2500 0.4239
0.2785 0.7500 0.0689
0.7215 0.2500 0.9311
0.7841 0.7500 0.5761
0.1494 0.2500 0.7895
0.8506 0.7500 0.2105
0.3584 0.7500 0.7111
0.6416 0.2500 0.2889
```

Results
Final energy, eV per cell: -68.791
Space-group type: P2_1/m
Size of the total moment, μB/cell: 0.001
N(E_F), states/eV/cell: 5.26

***

Record 10
## BeSi2Ir (GGA-PBEsol)

Data for a relaxed structure of BeSi2Ir.

Structure (POSCAR):
```
BeSi2Ir
1.0
3.1866 0.0000 0.0000
0.0000 3.1866 0.0000
0.0000 0.0000 4.8420
Be Si Ir
1 2 1
Direct
0.0000 0.0000 0.0000
0.0000 0.0000 0.5168
0.5000 0.5000 0.7812
0.5000 0.5000 0.2730
```

Results
Space-group type: P4mm
Size of the total moment, μB/cell: 0.000
N(E_F), states/eV/cell: 1.63
Raw formation energy, meV per atom: -143

***

Record 11
## SrIn3 (GGA-PBEsol)

Data for a relaxed structure of SrIn3.

Structure (POSCAR):
```
SrIn3
1.0
3.4974 -5.9017 0.0000
3.4974 5.9017 0.0000
0.0000 0.0000 5.2346
Sr In
2 6
Direct
0.1618 0.8382 0.7500
0.8382 0.1618 0.2500
0.1955 0.3531 0.7500
0.3430 0.6570 0.2500
0.3531 0.1955 0.2500
0.6469 0.8045 0.7500
0.6570 0.3430 0.7500
0.8045 0.6469 0.2500
```

Results
Final energy, eV per cell: -24.508
Space-group type: Cmcm
Size of the total moment, μB/cell: 0.000
N(E_F), states/eV/cell: 4.27

***

Record 12
## RbTlSe2N (GGA-PBEsol)

Data for a relaxed structure of RbTlSe2N.

Structure (POSCAR):
```
RbTlSe2N
1.0
6.0715 0.0000 0.0000
0.0000 6.0715 0.0000
0.0000 0.0000 5.2304
Rb Tl Se N
1 1 2 1
Direct
0.0000 0.0000 0.0000
0.5000 0.5000 0.5000
0.0000 0.5000 0.0000
0.5000 0.0000 0.0000
0.0000 0.0000 0.5000
```

Results
Space-group type: P4/mmm
Size of the total moment, μB/cell: 5.031
N(E_F), states/eV/cell: 4.83
Raw formation energy, meV per atom: 1299